(1)
Computed, not measured: an optimized crystal structure of CaBeCo2 at the GGA-PBE level of DFT. Values from VASP.

Quantum ESPRESSO input file:
```
&SYSTEM
  ibrav = 0, nat = 4, ntyp = 3
/
ATOMIC_SPECIES
Ca 40.08 Ca.upf
Be 9.01 Be.upf
Co 58.93 Co.upf
CELL_PARAMETERS angstrom
1.942 1.121 5.067
-1.942 1.121 5.067
0.000 -2.242 5.067
ATOMIC_POSITIONS angstrom
Ca 0.000 0.000 0.000
Be 0.000 0.000 7.601
Co 0.000 0.000 2.763
Co 0.000 0.000 12.439
```

Total moment (μB/f.u.): 1.9
SG: No. 166



(2)
Computed, not measured: an optimized crystal structure of CaBeCo2 at the GGA-PBE level of DFT. Values from VASP.

Quantum ESPRESSO input file:
```
&SYSTEM
  ibrav = 0, nat = 4, ntyp = 3
/
ATOMIC_SPECIES
Ca 40.08 Ca.upf
Be 9.01 Be.upf
Co 58.93 Co.upf
CELL_PARAMETERS angstrom
2.892 0.000 0.000
0.000 3.044 0.000
0.000 0.000 6.525
ATOMIC_POSITIONS angstrom
Ca 0.000 0.000 0.000
Be 1.446 1.522 4.329
Co 0.000 0.000 3.363
Co 1.446 1.522 2.108
```

Total moment (μB/f.u.): 2.8
SG: No. 25



(3)
Computed, not measured: an optimized crystal structure of CaBeCo2 at the GGA-PBE level of DFT. Values from VASP.

Quantum ESPRESSO input file:
```
&SYSTEM
  ibrav = 0, nat = 4, ntyp = 3
/
ATOMIC_SPECIES
Ca 40.08 Ca.upf
Be 9.01 Be.upf
Co 58.93 Co.upf
CELL_PARAMETERS angstrom
-1.393 2.360 4.185
1.393 -2.360 4.185
1.393 2.360 -4.185
ATOMIC_POSITIONS angstrom
Ca 0.000 0.000 0.000
Be 0.000 0.000 4.185
Co 1.393 0.000 2.480
Co 0.000 2.360 1.704
```

Total moment (μB/f.u.): 1.8
SG: No. 71



(4)
Computed, not measured: an optimized crystal structure of CaBe2Co at the GGA-PBE level of DFT. Values from VASP.

Quantum ESPRESSO input file:
```
&SYSTEM
  ibrav = 0, nat = 4, ntyp = 3
/
ATOMIC_SPECIES
Ca 40.08 Ca.upf
Be 9.01 Be.upf
Co 58.93 Co.upf
CELL_PARAMETERS angstrom
-1.430 2.352 4.157
1.430 -2.352 4.157
1.430 2.352 -4.157
ATOMIC_POSITIONS angstrom
Ca 0.000 0.000 0.000
Be 0.000 0.000 4.076
Be 0.000 2.352 1.641
Co 1.430 0.000 2.451
```

Total moment (μB/f.u.): 0.7
SG: No. 44



(5)
Computed, not measured: an optimized crystal structure of CaBeCo2 at the GGA-PBE level of DFT. Values from VASP.

Quantum ESPRESSO input file:
```
&SYSTEM
  ibrav = 0, nat = 4, ntyp = 3
/
ATOMIC_SPECIES
Ca 40.08 Ca.upf
Be 9.01 Be.upf
Co 58.93 Co.upf
CELL_PARAMETERS angstrom
3.722 0.000 0.000
0.000 3.855 0.000
0.000 0.000 3.866
ATOMIC_POSITIONS angstrom
Ca 0.000 0.000 0.000
Be 0.000 1.927 1.933
Co 1.861 0.000 1.933
Co 1.861 1.927 0.000
```

Total moment (μB/f.u.): 1.7
SG: No. 47



(6)
Computed, not measured: an optimized crystal structure of CaBeCo2 at the GGA-PBE level of DFT. Values from VASP.

Quantum ESPRESSO input file:
```
&SYSTEM
  ibrav = 0, nat = 4, ntyp = 3
/
ATOMIC_SPECIES
Ca 40.08 Ca.upf
Be 9.01 Be.upf
Co 58.93 Co.upf
CELL_PARAMETERS angstrom
2.983 0.000 0.000
0.000 3.769 0.000
-1.445 0.000 5.464
ATOMIC_POSITIONS angstrom
Ca 0.000 0.000 0.000
Be 0.044 1.884 3.799
Co 0.068 0.000 2.752
Co 1.535 1.884 2.219
```

Total moment (μB/f.u.): 2.7
SG: No. 6



(7)
Computed, not measured: an optimized crystal structure of CaBe2Co at the GGA-PBE level of DFT. Values from VASP.

Quantum ESPRESSO input file:
```
&SYSTEM
  ibrav = 0, nat = 4, ntyp = 3
/
ATOMIC_SPECIES
Ca 40.08 Ca.upf
Be 9.01 Be.upf
Co 58.93 Co.upf
CELL_PARAMETERS angstrom
-1.436 2.305 4.342
1.436 -2.305 4.342
1.436 2.305 -4.342
ATOMIC_POSITIONS angstrom
Ca 0.000 0.000 0.000
Be 1.436 0.000 2.628
Be 0.000 2.305 1.714
Co 0.000 0.000 4.342
```

Total moment (μB/f.u.): 0.0
SG: No. 71



(8)
Computed, not measured: an optimized crystal structure of CaBe2Co at the GGA-PBE level of DFT. Values from VASP.

Quantum ESPRESSO input file:
```
&SYSTEM
  ibrav = 0, nat = 4, ntyp = 3
/
ATOMIC_SPECIES
Ca 40.08 Ca.upf
Be 9.01 Be.upf
Co 58.93 Co.upf
CELL_PARAMETERS angstrom
1.876 1.083 5.000
-1.876 1.083 5.000
0.000 -2.166 5.000
ATOMIC_POSITIONS angstrom
Ca 0.000 0.000 0.000
Be 0.000 0.000 2.794
Be 0.000 0.000 12.205
Co 0.000 0.000 7.500
```

Total moment (μB/f.u.): 0.0
SG: No. 166



(9)
Computed, not measured: an optimized crystal structure of CaBeCo2 at the GGA-PBE level of DFT. Values from VASP.

Quantum ESPRESSO input file:
```
&SYSTEM
  ibrav = 0, nat = 4, ntyp = 3
/
ATOMIC_SPECIES
Ca 40.08 Ca.upf
Be 9.01 Be.upf
Co 58.93 Co.upf
CELL_PARAMETERS angstrom
2.697 -4.130 0.000
2.697 4.130 0.000
-1.016 0.000 2.439
ATOMIC_POSITIONS angstrom
Ca 0.000 0.000 0.000
Be 2.697 0.000 0.000
Co 0.840 2.065 1.219
Co 0.840 -2.065 1.219
```

Total moment (μB/f.u.): 2.0
SG: No. 12



(10)
Computed, not measured: an optimized crystal structure of CaBeCo2 at the GGA-PBE level of DFT. Values from VASP.

Quantum ESPRESSO input file:
```
&SYSTEM
  ibrav = 0, nat = 4, ntyp = 3
/
ATOMIC_SPECIES
Ca 40.08 Ca.upf
Be 9.01 Be.upf
Co 58.93 Co.upf
CELL_PARAMETERS angstrom
2.707 0.000 0.000
0.000 3.727 0.000
-1.202 0.000 5.534
ATOMIC_POSITIONS angstrom
Ca 0.000 0.000 0.000
Be 0.753 0.000 2.767
Co 0.012 1.864 3.718
Co 1.493 1.864 1.816
```

Total moment (μB/f.u.): 0.0
SG: No. 10



(11)
Computed, not measured: an optimized crystal structure of CaBe2Co at the GGA-PBE level of DFT. Values from VASP.

Quantum ESPRESSO input file:
```
&SYSTEM
  ibrav = 0, nat = 4, ntyp = 3
/
ATOMIC_SPECIES
Ca 40.08 Ca.upf
Be 9.01 Be.upf
Co 58.93 Co.upf
CELL_PARAMETERS angstrom
2.580 -3.646 0.000
2.580 3.646 0.000
-0.010 0.000 2.858
ATOMIC_POSITIONS angstrom
Ca 0.000 0.000 0.000
Be 1.285 1.823 1.429
Be 1.285 -1.823 1.429
Co 2.580 0.000 0.000
```

Total moment (μB/f.u.): 0.0
SG: No. 12



(12)
Computed, not measured: an optimized crystal structure of Ca3BeCo at the GGA-PBE level of DFT. Values from VASP.

Quantum ESPRESSO input file:
```
&SYSTEM
  ibrav = 0, nat = 5, ntyp = 3
/
ATOMIC_SPECIES
Ca 40.08 Ca.upf
Be 9.01 Be.upf
Co 58.93 Co.upf
CELL_PARAMETERS angstrom
5.254 0.000 0.000
0.000 5.254 0.000
0.000 0.000 5.254
ATOMIC_POSITIONS angstrom
Ca 0.000 0.000 2.627
Ca 0.000 2.627 0.000
Ca 2.627 0.000 0.000
Be 2.627 2.627 2.627
Co 0.000 0.000 0.000
```

Total moment (μB/f.u.): 0.0
SG: No. 221



(13)
Computed, not measured: an optimized crystal structure of CaBeCo2 at the GGA-PBE level of DFT. Values from VASP.

Quantum ESPRESSO input file:
```
&SYSTEM
  ibrav = 0, nat = 4, ntyp = 3
/
ATOMIC_SPECIES
Ca 40.08 Ca.upf
Be 9.01 Be.upf
Co 58.93 Co.upf
CELL_PARAMETERS angstrom
-1.403 2.257 4.460
1.403 -2.257 4.460
1.403 2.257 -4.460
ATOMIC_POSITIONS angstrom
Ca 0.000 0.000 0.000
Be 0.000 2.257 1.852
Co 1.403 0.000 2.554
Co 0.000 0.000 4.539
```

Total moment (μB/f.u.): 2.0
SG: No. 44



(14)
Computed, not measured: an optimized crystal structure of CaBeCo2 at the GGA-PBE level of DFT. Values from VASP.

Quantum ESPRESSO input file:
```
&SYSTEM
  ibrav = 0, nat = 4, ntyp = 3
/
ATOMIC_SPECIES
Ca 40.08 Ca.upf
Be 9.01 Be.upf
Co 58.93 Co.upf
CELL_PARAMETERS angstrom
-2.147 2.147 3.088
2.147 -2.147 3.088
2.147 2.147 -3.088
ATOMIC_POSITIONS angstrom
Ca 0.000 0.000 0.000
Be 0.000 2.147 1.544
Co 2.147 0.000 1.544
Co 0.000 0.000 3.088
```

Total moment (μB/f.u.): 2.7
SG: No. 119



(15)
Computed, not measured: an optimized crystal structure of CaBe2Co at the GGA-PBE level of DFT. Values from VASP.

Quantum ESPRESSO input file:
```
&SYSTEM
  ibrav = 0, nat = 4, ntyp = 3
/
ATOMIC_SPECIES
Ca 40.08 Ca.upf
Be 9.01 Be.upf
Co 58.93 Co.upf
CELL_PARAMETERS angstrom
-1.950 1.950 3.544
1.950 -1.950 3.544
1.950 1.950 -3.544
ATOMIC_POSITIONS angstrom
Ca 0.000 0.000 0.000
Be 1.950 0.000 1.772
Be 0.000 1.950 1.772
Co 0.000 0.000 3.544
```

Total moment (μB/f.u.): 0.0
SG: No. 139



(16)
Computed, not measured: an optimized crystal structure of CaBe3Co at the GGA-PBE level of DFT. Values from VASP.

Quantum ESPRESSO input file:
```
&SYSTEM
  ibrav = 0, nat = 5, ntyp = 3
/
ATOMIC_SPECIES
Ca 40.08 Ca.upf
Be 9.01 Be.upf
Co 58.93 Co.upf
CELL_PARAMETERS angstrom
4.912 0.000 0.000
0.000 4.912 0.000
0.000 0.000 4.912
ATOMIC_POSITIONS angstrom
Ca 0.000 0.000 0.000
Be 0.000 0.000 2.456
Be 0.000 2.456 0.000
Be 2.456 0.000 0.000
Co 2.456 2.456 2.456
```

Total moment (μB/f.u.): 2.2
SG: No. 221



(17)
Computed, not measured: an optimized crystal structure of Ca4BeCo at the GGA-PBE level of DFT. Values from VASP.

Quantum ESPRESSO input file:
```
&SYSTEM
  ibrav = 0, nat = 6, ntyp = 3
/
ATOMIC_SPECIES
Ca 40.08 Ca.upf
Be 9.01 Be.upf
Co 58.93 Co.upf
CELL_PARAMETERS angstrom
0.000 4.497 4.497
4.497 0.000 4.497
4.497 4.497 0.000
ATOMIC_POSITIONS angstrom
Ca 1.123 1.123 1.123
Ca 3.374 3.374 1.123
Ca 3.374 1.123 3.374
Ca 1.123 3.374 3.374
Be 4.497 4.497 4.497
Co 6.746 6.746 6.746
```

Total moment (μB/f.u.): 1.0
SG: No. 216



(18)
Computed, not measured: an optimized crystal structure of CaBeCo2 at the GGA-PBE level of DFT. Values from VASP.

Quantum ESPRESSO input file:
```
&SYSTEM
  ibrav = 0, nat = 4, ntyp = 3
/
ATOMIC_SPECIES
Ca 40.08 Ca.upf
Be 9.01 Be.upf
Co 58.93 Co.upf
CELL_PARAMETERS angstrom
1.938 1.119 5.009
-1.938 1.119 5.009
0.000 -2.237 5.009
ATOMIC_POSITIONS angstrom
Ca 0.000 0.000 0.000
Be 0.000 0.000 2.783
Co 0.000 0.000 7.539
Co 0.000 0.000 12.236
```

Total moment (μB/f.u.): 1.8
SG: No. 160



(19)
Computed, not measured: an optimized crystal structure of CaBe2Co at the GGA-PBE level of DFT. Values from VASP.

Quantum ESPRESSO input file:
```
&SYSTEM
  ibrav = 0, nat = 4, ntyp = 3
/
ATOMIC_SPECIES
Ca 40.08 Ca.upf
Be 9.01 Be.upf
Co 58.93 Co.upf
CELL_PARAMETERS angstrom
3.827 0.000 0.000
0.000 3.827 0.000
0.000 0.000 3.925
ATOMIC_POSITIONS angstrom
Ca 0.000 0.000 0.000
Be 0.000 1.913 1.962
Be 1.913 0.000 1.962
Co 1.913 1.913 0.000
```

Total moment (μB/f.u.): 0.0
SG: No. 123



(20)
Computed, not measured: an optimized crystal structure of CaBe2Co at the GGA-PBE level of DFT. Values from VASP.

Quantum ESPRESSO input file:
```
&SYSTEM
  ibrav = 0, nat = 8, ntyp = 3
/
ATOMIC_SPECIES
Ca 40.08 Ca.upf
Be 9.01 Be.upf
Co 58.93 Co.upf
CELL_PARAMETERS angstrom
-2.122 2.122 7.387
2.122 -2.122 7.387
2.122 2.122 -7.387
ATOMIC_POSITIONS angstrom
Ca 2.122 1.061 1.847
Ca 0.000 1.061 5.540
Be 0.000 0.000 0.000
Be 1.061 1.061 -3.693
Be 1.061 -1.061 3.693
Be 0.000 2.122 0.000
Co 2.122 -1.061 5.540
Co 0.000 3.183 1.847
```

Total moment (μB/f.u.): 0.0
SG: No. 141



The following energy of formation from the pure elements values (in kJ/mol of atoms) correspond, in order, to the records above: -2.7 22.5 39.7 44.6 52.5 25.8 39.3 -1.7 57.4 32.8 63.8 53.8 40.5 47.9 43.3 238.2 108.9 -3.3 62.5 26.7.